Material: TeMo2Pt
Method: DFT, SCAN
State: PBEsol geometry

abc: 3.2420 4.6658 4.8940
angles: 97.79 109.34 90.00
Fractional positions:
Mo: 0.2628 0.2951 0.5255
Mo: 0.7372 0.7049 0.4745
Pt: 0.0000 0.5000 0.0000
Te: 0.5000 0.0000 0.0000

Summary:
* magnetic moment: 0.0 Bohr magnetons per cell
* energy: -44.09 eV/atom
* ρ: 12.36 g/cm³

---

Material: TeMo2Pt
Method: DFT, SCAN
State: PBEsol geometry

abc: 3.3437 3.3437 6.0937
angles: 90.00 90.00 90.00
Fractional positions:
Mo: 0.0000 0.0000 0.0243
Mo: 0.5000 0.5000 0.2464
Pt: 0.0000 0.0000 0.4758
Te: 0.5000 0.5000 0.7536

Summary:
* magnetic moment: 0.0 Bohr magnetons per cell
* energy: -44.12 eV/atom
* ρ: 12.54 g/cm³

---

Material: Te2MoPt
Method: DFT, SCAN
State: PBEsol geometry

abc: 3.3572 3.3572 8.9836
angles: 79.23 79.23 60.00
Fractional positions:
Mo: 0.5000 0.5000 0.5000
Te: 0.9045 0.9045 0.2866
Te: 0.0955 0.0955 0.7134
Pt: 0.0000 0.0000 0.0000

Summary:
* magnetic moment: 0.0 Bohr magnetons per cell
* energy: -44.70 eV/atom
* energy above the most stable polymorph in this dataset: 0.181 eV per atom
* ρ: 10.59 g/cm³

---

Material: Ti2MoPt
Method: DFT, SCAN
State: PBEsol geometry

abc: 4.3880 4.3880 4.3880
angles: 60.00 60.00 60.00
Fractional positions:
Mo: 0.0000 0.0000 0.0000
Pt: 0.5000 0.5000 0.5000
Ti: 0.7500 0.7500 0.7500
Ti: 0.2500 0.2500 0.2500

Summary:
* magnetic moment: 0.0 Bohr magnetons per cell
* energy relative to the elements: -0.838 eV per atom
* energy: -35.12 eV/atom
* ρ: 10.75 g/cm³

---

Material: TiMo2Pt2
Method: DFT, SCAN
State: PBEsol geometry

abc: 3.5023 3.5023 7.1526
angles: 104.17 104.17 90.00
Fractional positions:
Mo: 0.2500 0.7500 0.5000
Mo: 0.7500 0.2500 0.5000
Pt: 0.4057 0.4057 0.8114
Pt: 0.5943 0.5943 0.1886
Ti: 0.0000 0.0000 0.0000

Summary:
* magnetic moment: 0.0 Bohr magnetons per cell
* energy relative to the elements: -0.249 eV per atom
* energy: -45.49 eV/atom
* ρ: 12.71 g/cm³

---

Material: TlMoPt2
Method: DFT, SCAN
State: PBEsol geometry

abc: 2.8109 4.5701 5.1412
angles: 90.00 90.02 90.00
Fractional positions:
Mo: 0.3746 0.5000 0.8089
Pt: 0.8749 0.0000 0.9553
Pt: 0.8750 0.5000 0.2759
Tl: 0.3754 0.0000 0.4599

Summary:
* magnetic moment: 0.0 Bohr magnetons per cell
* energy relative to the elements: 0.122 eV per atom
* energy: -61.79 eV/atom
* energy above the most stable polymorph in this dataset: 0.179 eV per atom
* ρ: 17.36 g/cm³

---

Material: TlMoPt2
Method: DFT, SCAN
State: PBEsol geometry

abc: 2.8653 2.8653 8.2247
angles: 90.00 90.00 90.00
Fractional positions:
Mo: 0.5000 0.5000 0.5000
Pt: 0.0000 0.0000 0.7193
Pt: 0.0000 0.0000 0.2807
Tl: 0.5000 0.5000 0.0000

Summary:
* magnetic moment: 0.0 Bohr magnetons per cell
* energy relative to the elements: -0.056 eV per atom
* energy: -61.96 eV/atom
* energy above the most stable polymorph in this dataset: 0.000 eV per atom
* ρ: 16.98 g/cm³

---

Material: TlMoPt
Method: DFT, SCAN
State: PBEsol geometry

abc: 4.4039 4.4039 4.4039
angles: 60.00 60.00 60.00
Fractional positions:
Mo: 0.0000 0.0000 0.0000
Pt: 0.5000 0.5000 0.5000
Tl: 0.2500 0.2500 0.2500

Summary:
* magnetic moment: 2.1 Bohr magnetons per cell
* energy relative to the elements: 0.983 eV per atom
* energy: -58.16 eV/atom
* ρ: 13.62 g/cm³

---

Material: MoPtW2
Method: DFT, SCAN
State: PBEsol geometry

abc: 2.6825 2.6825 8.5768
angles: 90.00 90.00 90.00
Fractional positions:
Mo: 0.0000 0.0000 0.5093
Pt: 0.5000 0.5000 0.7508
W: 0.0000 0.0000 0.9901
W: 0.5000 0.5000 0.2498

Summary:
* magnetic moment: 0.0 Bohr magnetons per cell
* energy relative to the elements: 0.000 eV per atom
* energy: -61.11 eV/atom
* energy above the most stable polymorph in this dataset: 0.013 eV per atom
* ρ: 17.72 g/cm³

---

Material: Mo2PtW
Method: DFT, SCAN
State: PBEsol geometry

abc: 2.6769 4.8360 4.9594
angles: 97.60 90.00 106.07
Fractional positions:
Mo: 0.0007 0.0013 0.9987
Mo: 0.2427 0.4855 0.7464
Pt: 0.4998 0.9995 0.4997
W: 0.7568 0.5136 0.2552

Summary:
* magnetic moment: 0.0 Bohr magnetons per cell
* energy relative to the elements: -0.009 eV per atom
* energy: -52.42 eV/atom
* ρ: 15.51 g/cm³

---

Material: MoPtW2
Method: DFT, SCAN
State: PBEsol geometry

abc: 2.6671 4.4730 5.2267
angles: 90.00 98.60 90.00
Fractional positions:
Mo: 0.5000 0.5000 0.0000
Pt: 0.0000 0.5000 0.5000
W: 0.7301 0.0000 0.7539
W: 0.2699 0.0000 0.2461

Summary:
* magnetic moment: 0.0 Bohr magnetons per cell
* energy relative to the elements: 0.042 eV per atom
* energy: -61.07 eV/atom
* energy above the most stable polymorph in this dataset: 0.055 eV per atom
* ρ: 17.74 g/cm³

---

Material: Mo2PtW
Method: DFT, SCAN
State: PBEsol geometry

abc: 3.9189 3.9189 3.9486
angles: 90.00 90.00 90.00
Fractional positions:
Mo: 0.0000 0.5000 0.0000
Mo: 0.5000 0.0000 0.0000
Pt: 0.5000 0.5000 0.5000
W: 0.0000 0.0000 0.5000

Summary:
* magnetic moment: 0.0 Bohr magnetons per cell
* energy relative to the elements: -0.116 eV per atom
* energy: -52.53 eV/atom
* ρ: 15.63 g/cm³

---

Material: Mo2PtW
Method: DFT, SCAN
State: PBEsol geometry

abc: 2.7165 2.7165 9.7932
angles: 68.54 68.54 71.37
Fractional positions:
Mo: 0.0285 0.0285 0.9991
Mo: 0.7805 0.7805 0.7498
Pt: 0.4132 0.4132 0.5004
W: 0.2778 0.2778 0.2507

Summary:
* magnetic moment: 0.0 Bohr magnetons per cell
* energy relative to the elements: -0.092 eV per atom
* energy: -52.50 eV/atom
* ρ: 15.50 g/cm³

---

Material: MoPtW2
Method: DFT, SCAN
State: PBEsol geometry

abc: 2.6818 4.5027 5.1709
angles: 90.00 97.79 90.00
Fractional positions:
Mo: 0.5294 0.0000 0.5060
Pt: 0.1007 0.5000 0.7444
W: 0.0989 0.0000 0.0106
W: 0.7710 0.5000 0.2390

Summary:
* magnetic moment: 0.0 Bohr magnetons per cell
* energy relative to the elements: -0.014 eV per atom
* energy: -61.13 eV/atom
* energy above the most stable polymorph in this dataset: 0.000 eV per atom
* ρ: 17.68 g/cm³

---

Material: MoPtW2
Method: DFT, SCAN
State: PBEsol geometry

abc: 4.4443 4.4443 4.4443
angles: 60.00 60.00 60.00
Fractional positions:
Mo: 0.0000 0.0000 0.0000
Pt: 0.5000 0.5000 0.5000
W: 0.2500 0.2500 0.2500
W: 0.7500 0.7500 0.7500

Summary:
* magnetic moment: 0.0 Bohr magnetons per cell
* energy relative to the elements: 0.252 eV per atom
* energy: -60.86 eV/atom
* energy above the most stable polymorph in this dataset: 0.265 eV per atom
* ρ: 17.62 g/cm³

---

Material: ZnMo2Pt
Method: DFT, SCAN
State: PBEsol geometry

abc: 3.6939 3.6939 4.2769
angles: 90.00 90.00 90.00
Fractional positions:
Mo: 0.0000 0.5000 0.0000
Mo: 0.5000 0.0000 0.0000
Pt: 0.5000 0.5000 0.5000
Zn: 0.0000 0.0000 0.5000

Summary:
* magnetic moment: 0.0 Bohr magnetons per cell
* energy relative to the elements: -0.140 eV per atom
* energy: -38.51 eV/atom
* ρ: 12.87 g/cm³

---

Material: ZnMo2Pt
Method: DFT, SCAN
State: PBEsol geometry

abc: 2.6606 3.9837 5.5571
angles: 90.00 90.00 90.00
Fractional positions:
Mo: 0.0000 0.0000 0.9963
Mo: 0.5000 0.5000 0.2469
Pt: 0.0000 0.0000 0.5121
Zn: 0.5000 0.5000 0.7447

Summary:
* magnetic moment: 0.0 Bohr magnetons per cell
* energy relative to the elements: -0.100 eV per atom
* energy: -38.47 eV/atom
* ρ: 12.75 g/cm³

---

Material: Zn4MoPt
Method: DFT, SCAN
State: PBEsol geometry

abc: 4.8743 4.8743 4.8743
angles: 60.00 60.00 60.00
Fractional positions:
Mo: 0.7500 0.7500 0.7500
Pt: 0.0000 0.0000 0.0000
Zn: 0.3758 0.3758 0.3758
Zn: 0.3758 0.3758 0.8727
Zn: 0.8727 0.3758 0.3758
Zn: 0.3758 0.8727 0.3758

Summary:
* magnetic moment: 0.0 Bohr magnetons per cell
* energy relative to the elements: 0.055 eV per atom
* energy: -26.47 eV/atom
* ρ: 11.21 g/cm³

---

Material: Zn2MoPt
Method: DFT, SCAN
State: PBEsol geometry

abc: 2.7319 4.5088 4.7464
angles: 90.00 90.00 90.00
Fractional positions:
Mo: 0.5000 0.5000 0.0000
Pt: 0.0000 0.5000 0.5000
Zn: 0.0000 0.0000 0.0000
Zn: 0.5000 0.0000 0.5000

Summary:
* magnetic moment: 0.0 Bohr magnetons per cell
* energy relative to the elements: -0.064 eV per atom
* energy: -33.09 eV/atom
* energy above the most stable polymorph in this dataset: 0.000 eV per atom
* ρ: 11.98 g/cm³

---

Material: Zn2MoPt
Method: DFT, SCAN
State: PBEsol geometry

abc: 2.6459 4.7907 4.7907
angles: 108.72 90.00 90.00
Fractional positions:
Mo: 0.5000 0.0000 0.0000
Pt: 0.5000 0.5000 0.5000
Zn: 0.0000 0.5000 0.0000
Zn: 0.0000 0.0000 0.5000

Summary:
* magnetic moment: 0.0 Bohr magnetons per cell
* energy relative to the elements: -0.009 eV per atom
* energy: -33.04 eV/atom
* energy above the most stable polymorph in this dataset: 0.055 eV per atom
* ρ: 12.18 g/cm³